# NdYIn

A relaxed NdYIn crystal (PBE-GGA, Alexandria via LeMat-Bulk).

CIF file:
```
data_NdYIn
_cell_length_a 5.5036
_cell_length_b 5.5036
_cell_length_c 6.7870
_cell_angle_alpha 90.00
_cell_angle_beta 90.00
_cell_angle_gamma 120.00
_symmetry_space_group_name_H-M 'P 63/m m c'
_symmetry_Int_Tables_number 194
_symmetry_space_group_name_Hall '-P 6c 2c'
loop_
_atom_site_label
_atom_site_type_symbol
_atom_site_fract_x
_atom_site_fract_y
_atom_site_fract_z
Nd1 Nd 0.0000 0.0000 0.0000
Y1 Y 0.3333 0.6667 0.2500
In1 In 0.3333 0.6667 0.7500
```

Properties
The density of states at the Fermi level is 3.172 states/eV/f.u. The value obtained for the energy is -5.025 eV per atom. Its magnetization is 0.00 Bohr magnetons per cell. The value obtained for the formation energy is -0.368 eV/atom. The relative energy among the computed polymorphs is 0.000 eV per atom.


# Nd4Y3In

A relaxed Nd4Y3In crystal (PBE-GGA, Alexandria via LeMat-Bulk).

CIF file:
```
data_Nd4Y3In
_cell_length_a 10.0885
_cell_length_b 7.0987
_cell_length_c 7.1715
_cell_angle_alpha 90.00
_cell_angle_beta 90.00
_cell_angle_gamma 90.00
_symmetry_space_group_name_H-M 'P m n 21'
_symmetry_Int_Tables_number 31
_symmetry_space_group_name_Hall 'P 2ac -2'
loop_
_atom_site_label
_atom_site_type_symbol
_atom_site_fract_x
_atom_site_fract_y
_atom_site_fract_z
Nd1 Nd 0.0000 0.0002 0.0000
Nd2 Nd 0.0000 0.4993 0.5003
Nd3 Nd 0.2503 0.2519 0.7502
Y1 Y 0.0000 0.4999 0.0001
Y2 Y 0.2501 0.2385 0.2502
In1 In 0.0000 0.9999 0.5002
```

Properties
The density of states at the Fermi level is 11.862 states/eV/f.u. The value obtained for the energy is -5.233 eV per atom. Its magnetization is 0.00 Bohr magnetons per cell. The value obtained for the formation energy is -0.083 eV/atom. The relative energy among the computed polymorphs is 0.000 eV per atom.


# Nd2YIn

A relaxed Nd2YIn crystal (PBE-GGA, Alexandria via LeMat-Bulk).

CIF file:
```
data_Nd2YIn
_cell_length_a 3.5644
_cell_length_b 3.5644
_cell_length_c 37.1066
_cell_angle_alpha 90.00
_cell_angle_beta 90.00
_cell_angle_gamma 120.00
_symmetry_space_group_name_H-M 'R -3 m'
_symmetry_Int_Tables_number 166
_symmetry_space_group_name_Hall '-R 3 2"'
loop_
_atom_site_label
_atom_site_type_symbol
_atom_site_fract_x
_atom_site_fract_y
_atom_site_fract_z
Nd1 Nd 0.0000 0.0000 0.0882
Y1 Y 0.0000 0.0000 0.5000
In1 In 0.0000 0.0000 0.0000
```

Properties
The density of states at the Fermi level is 4.146 states/eV/f.u. The value obtained for the energy is -4.591 eV per atom. Its magnetization is 0.00 Bohr magnetons per cell. The value obtained for the formation energy is 0.094 eV/atom. The relative energy among the computed polymorphs is 0.370 eV per atom.


# Nd2YIn

A relaxed Nd2YIn crystal (PBE-GGA, Alexandria via LeMat-Bulk).

CIF file:
```
data_Nd2YIn
_cell_length_a 6.0981
_cell_length_b 3.4594
_cell_length_c 12.6732
_cell_angle_alpha 90.00
_cell_angle_beta 94.48
_cell_angle_gamma 90.00
_symmetry_space_group_name_H-M 'P 1 21/m 1'
_symmetry_Int_Tables_number 11
_symmetry_space_group_name_Hall '-P 2yb'
loop_
_atom_site_label
_atom_site_type_symbol
_atom_site_fract_x
_atom_site_fract_y
_atom_site_fract_z
Nd1 Nd 0.2341 0.2500 0.3143
Nd2 Nd 0.2483 0.7500 0.5681
Y1 Y 0.3107 0.7500 0.8553
In1 In 0.1881 0.2500 0.0601
```

Properties
The density of states at the Fermi level is 5.778 states/eV/f.u. The value obtained for the energy is -4.596 eV per atom. Its magnetization is 0.00 Bohr magnetons per cell. The value obtained for the formation energy is 0.089 eV/atom. The relative energy among the computed polymorphs is 0.365 eV per atom.


# NdYIn2

A relaxed NdYIn2 crystal (PBE-GGA, Alexandria via LeMat-Bulk).

CIF file:
```
data_NdYIn2
_cell_length_a 3.7683
_cell_length_b 3.7683
_cell_length_c 29.3691
_cell_angle_alpha 90.00
_cell_angle_beta 90.00
_cell_angle_gamma 120.00
_symmetry_space_group_name_H-M 'R -3 m'
_symmetry_Int_Tables_number 166
_symmetry_space_group_name_Hall '-R 3 2"'
loop_
_atom_site_label
_atom_site_type_symbol
_atom_site_fract_x
_atom_site_fract_y
_atom_site_fract_z
Nd1 Nd 0.0000 0.0000 0.0000
Y1 Y 0.0000 0.0000 0.5000
In1 In 0.0000 0.0000 0.2478
```

Properties
The density of states at the Fermi level is 2.185 states/eV/f.u. The value obtained for the energy is -4.506 eV per atom. Its magnetization is 0.00 Bohr magnetons per cell. The value obtained for the formation energy is -0.329 eV/atom.


# NdY3In

A relaxed NdY3In crystal (PBE-GGA, Alexandria via LeMat-Bulk).

CIF file:
```
data_NdY3In
_cell_length_a 14.2961
_cell_length_b 6.6576
_cell_length_c 14.2834
_cell_angle_alpha 90.00
_cell_angle_beta 98.84
_cell_angle_gamma 90.00
_symmetry_space_group_name_H-M 'C 1 2/c 1'
_symmetry_Int_Tables_number 15
_symmetry_space_group_name_Hall '-C 2yc'
loop_
_atom_site_label
_atom_site_type_symbol
_atom_site_fract_x
_atom_site_fract_y
_atom_site_fract_z
Nd1 Nd 0.1141 0.2493 0.3855
Y1 Y 0.0373 0.2504 0.9628
Y2 Y 0.1569 0.0006 0.6565
Y3 Y 0.1569 0.4996 0.1572
In1 In 0.0000 0.2496 0.7500
In2 In 0.2500 0.2500 0.0000
```

Properties
The density of states at the Fermi level is 6.642 states/eV/f.u. The value obtained for the energy is -5.357 eV per atom. Its magnetization is 0.00 Bohr magnetons per cell. The value obtained for the formation energy is 0.023 eV/atom. The relative energy among the computed polymorphs is 0.203 eV per atom.


# NdY3In

A relaxed NdY3In crystal (PBE-GGA, Alexandria via LeMat-Bulk).

CIF file:
```
data_NdY3In
_cell_length_a 4.9073
_cell_length_b 25.2469
_cell_length_c 4.8977
_cell_angle_alpha 90.00
_cell_angle_beta 90.00
_cell_angle_gamma 90.00
_symmetry_space_group_name_H-M 'C m c m'
_symmetry_Int_Tables_number 63
_symmetry_space_group_name_Hall '-C 2c 2'
loop_
_atom_site_label
_atom_site_type_symbol
_atom_site_fract_x
_atom_site_fract_y
_atom_site_fract_z
Nd1 Nd 0.0000 0.1490 0.2500
Y1 Y 0.0000 0.0490 0.7500
Y2 Y 0.0000 0.2503 0.7500
Y3 Y 0.0000 0.4469 0.7500
In1 In 0.0000 0.3463 0.2500
```

Properties
The density of states at the Fermi level is 7.323 states/eV/f.u. The value obtained for the energy is -5.560 eV per atom. Its magnetization is 2.75 Bohr magnetons per cell. The value obtained for the formation energy is -0.181 eV/atom. The relative energy among the computed polymorphs is 0.000 eV per atom.


# NdY3In3

A relaxed NdY3In3 crystal (PBE-GGA, Alexandria via LeMat-Bulk).

CIF file:
```
data_NdY3In3
_cell_length_a 9.4017
_cell_length_b 9.4017
_cell_length_c 9.4017
_cell_angle_alpha 90.00
_cell_angle_beta 90.00
_cell_angle_gamma 90.00
_symmetry_space_group_name_H-M 'P 21 3'
_symmetry_Int_Tables_number 198
_symmetry_space_group_name_Hall 'P 2ac 2ab 3'
loop_
_atom_site_label
_atom_site_type_symbol
_atom_site_fract_x
_atom_site_fract_y
_atom_site_fract_z
Nd1 Nd 0.0696 0.4304 0.5696
Y1 Y 0.0837 0.5837 0.9163
Y2 Y 0.1774 0.1774 0.1774
Y3 Y 0.1796 0.8204 0.3204
In1 In 0.0007 0.2602 0.8844
```

Properties
The density of states at the Fermi level is 8.740 states/eV/f.u. The value obtained for the energy is -4.976 eV per atom. Its magnetization is 0.00 Bohr magnetons per cell. The value obtained for the formation energy is -0.351 eV/atom.


# NdYIn

A relaxed NdYIn crystal (PBE-GGA, Alexandria via LeMat-Bulk).

CIF file:
```
data_NdYIn
_cell_length_a 3.6128
_cell_length_b 3.6128
_cell_length_c 13.9586
_cell_angle_alpha 90.00
_cell_angle_beta 90.00
_cell_angle_gamma 90.00
_symmetry_space_group_name_H-M 'I 4 m m'
_symmetry_Int_Tables_number 107
_symmetry_space_group_name_Hall 'I 4 -2'
loop_
_atom_site_label
_atom_site_type_symbol
_atom_site_fract_x
_atom_site_fract_y
_atom_site_fract_z
Nd1 Nd 0.0000 0.0000 0.0000
Y1 Y 0.0000 0.0000 0.6936
In1 In 0.0000 0.0000 0.3406
```

Properties
The density of states at the Fermi level is 2.880 states/eV/f.u. The value obtained for the energy is -4.968 eV per atom. Its magnetization is 0.00 Bohr magnetons per cell. The value obtained for the formation energy is -0.311 eV/atom. The relative energy among the computed polymorphs is 0.057 eV per atom.


# Nd12Y7In

A relaxed Nd12Y7In crystal (PBE-GGA, Alexandria via LeMat-Bulk).

CIF file:
```
data_Nd12Y7In
_cell_length_a 11.6359
_cell_length_b 11.6359
_cell_length_c 11.6359
_cell_angle_alpha 90.00
_cell_angle_beta 90.00
_cell_angle_gamma 90.00
_symmetry_space_group_name_H-M 'I m -3'
_symmetry_Int_Tables_number 204
_symmetry_space_group_name_Hall '-I 2 2 3'
loop_
_atom_site_label
_atom_site_type_symbol
_atom_site_fract_x
_atom_site_fract_y
_atom_site_fract_z
Nd1 Nd 0.0000 0.2186 0.2177
Y1 Y 0.0000 0.0000 0.5000
Y2 Y 0.2500 0.2500 0.2500
In1 In 0.0000 0.0000 0.0000
```

Properties
The density of states at the Fermi level is 35.400 states/eV/f.u. The value obtained for the energy is -4.615 eV per atom. Its magnetization is 0.00 Bohr magnetons per cell. The value obtained for the formation energy is 0.645 eV/atom. The relative energy among the computed polymorphs is 0.557 eV per atom.